# SmCoSn3, relaxed, DFT PBE
# Uncorrected energy = -0.3748 Ry/atom
# ΔH_f (0 K) = -32.1 kJ per mole of atoms
# V = 23.8 Å³ per atom
# Total magnetization = 0.001 Bohr magnetons per cell
data_SmCoSn3
_cell_length_a 4.433
_cell_length_b 4.573
_cell_length_c 11.723
_cell_angle_alpha 90.00
_cell_angle_beta 90.00
_cell_angle_gamma 90.00
_space_group_name_H-M_alt 'A m m 2'
_space_group_IT_number 38
loop_
_space_group_symop_operation_xyz
'x,y,z'
'-x,-y,z'
'-x,y,z'
'x,-y,z'
'x,y+1/2,z+1/2'
'-x,-y+1/2,z+1/2'
'-x,y+1/2,z+1/2'
'x,-y+1/2,z+1/2'
loop_
_atom_site_label
_atom_site_type_symbol
_atom_site_fract_x
_atom_site_fract_y
_atom_site_fract_z
_atom_site_occupancy
Sm1 Sm 0.000 0.000 0.000 1
Co1 Co 0.000 0.000 0.312 1
Sn1 Sn 0.000 0.000 0.713 1
Sn2 Sn 0.500 0.000 0.192 1
Sn3 Sn 0.500 0.000 0.446 1